{"formula": "CaCu12", "functional": "PBE-GGA", "state": "relaxed", "formation_enthalpy_0k_ev_per_atom": -0.0381, "e_tot_ev_per_atom": -3.9731, "volume_a3_per_atom": 13.487, "magmom_total_mub_per_fu": 0.0, "spacegroup": "I4/mmm", "lattice": [[4.8336, 0.0000, 0.0000], [2.4168, 6.0227, 0.0000], [2.4168, 0.0000, 6.0227]], "species": ["Cu", "Cu", "Cu", "Ca", "Cu", "Cu", "Cu", "Cu", "Cu", "Cu", "Cu", "Cu", "Cu"], "frac_coords": [[0.0000, 0.3561, 0.6439], [0.0000, 0.5000, 0.0000], [0.5000, 0.0000, 0.5000], [0.0000, 0.0000, 0.0000], [0.5000, 0.2263, 0.7737], [0.3561, 0.6439, 0.6439], [0.0000, 0.6439, 0.3561], [0.0000, 0.0000, 0.5000], [0.2737, 0.2263, 0.2263], [0.7263, 0.7737, 0.7737], [0.6439, 0.3561, 0.3561], [0.5000, 0.5000, 0.0000], [0.5000, 0.7737, 0.2263]]}